Density functional theory data (PBEsol) for crystalline BaBePt2 at its relaxed geometry.

Results
The formation energy comes out at -0.16 eV per atom. The calculated density is 11.8 g/cm³. As for the symmetry: Pmm2. The spin magnetization comes out at 0.000 μB per atom. The value obtained for the density of states at the Fermi level is 0.4206 states/eV per atom. The crystal system is orthorhombic.

a = 2.956 Å, b = 3.619 Å, c = 7.082 Å
α = 90.00°, β = 90.00°, γ = 90.00°
Element x y z (fractional)
1 Be 0.500 0.500 0.875
2 Pt 0.500 0.500 0.191
3 Ba 0.000 0.000 0.489
4 Pt 0.000 0.000 0.945



Density functional theory data (PBEsol) for crystalline BaBe3Pt at its relaxed geometry.

Results
The formation energy comes out at -0.17 eV per atom. The calculated density is 6.7 g/cm³. As for the symmetry: Pm-3m. The spin magnetization comes out at 0.000 μB per atom. The value obtained for the density of states at the Fermi level is 0.2253 states/eV per atom. The crystal system is cubic.

a = 4.473 Å, b = 4.473 Å, c = 4.473 Å
α = 90.00°, β = 90.00°, γ = 90.00°
Element x y z (fractional)
1 Ba 0.500 0.500 0.500
2 Be 0.000 0.500 0.000
3 Be 0.000 0.000 0.500
4 Pt 0.000 0.000 0.000
5 Be 0.500 0.000 0.000



Density functional theory data (PBEsol) for crystalline BaBePt2 at its relaxed geometry.

Results
The formation energy comes out at 0.35 eV per atom. The calculated density is 11.5 g/cm³. As for the symmetry: F-43m. The spin magnetization comes out at 0.000 μB per atom. The value obtained for the density of states at the Fermi level is 0.5092 states/eV per atom. The crystal system is cubic.

a = 4.783 Å, b = 4.783 Å, c = 4.783 Å
α = 60.00°, β = 60.00°, γ = 60.00°
Element x y z (fractional)
1 Pt 0.000 0.000 0.000
2 Be 0.750 0.750 0.750
3 Ba 0.500 0.500 0.500
4 Pt 0.250 0.250 0.250



Density functional theory data (PBEsol) for crystalline Ba2BeRe at its relaxed geometry.

Results
The formation energy comes out at 1.43 eV per atom. The calculated density is 7.2 g/cm³. As for the symmetry: C2/m. The spin magnetization comes out at 0.001 μB per atom. The value obtained for the density of states at the Fermi level is 1.1715 states/eV per atom. The crystal system is monoclinic.

a = 3.030 Å, b = 4.767 Å, c = 7.902 Å
α = 93.90°, β = 90.00°, γ = 108.53°
Element x y z (fractional)
1 Re 0.500 0.000 0.000
2 Ba 0.749 0.499 0.758
3 Be 0.000 0.000 0.500
4 Ba 0.251 0.501 0.242



Density functional theory data (PBEsol) for crystalline Ba2BeRe at its relaxed geometry.

Results
The formation energy comes out at 1.49 eV per atom. The calculated density is 7.4 g/cm³. As for the symmetry: R-3m. The spin magnetization comes out at 0.007 μB per atom. The value obtained for the density of states at the Fermi level is 1.3249 states/eV per atom. The crystal system is trigonal.

a = 3.496 Å, b = 3.496 Å, c = 10.176 Å
α = 80.11°, β = 80.11°, γ = 60.00°
Element x y z (fractional)
1 Be 0.500 0.500 0.500
2 Ba 0.254 0.254 0.237
3 Re 0.000 0.000 0.000
4 Ba 0.746 0.746 0.763



Density functional theory data (PBEsol) for crystalline BaBe3Re at its relaxed geometry.

Results
The formation energy comes out at 3.05 eV per atom. The calculated density is 6.0 g/cm³. As for the symmetry: Pm-3m. The spin magnetization comes out at 0.583 μB per atom. The value obtained for the density of states at the Fermi level is 0.6828 states/eV per atom. The crystal system is cubic.

a = 4.590 Å, b = 4.590 Å, c = 4.590 Å
α = 90.00°, β = 90.00°, γ = 90.00°
Element x y z (fractional)
1 Re 0.500 0.500 0.500
2 Be 0.000 0.000 0.500
3 Ba 0.000 0.000 0.000
4 Be 0.000 0.500 0.000
5 Be 0.500 0.000 0.000



Density functional theory data (PBEsol) for crystalline Ba2BeRe at its relaxed geometry.

Results
The formation energy comes out at 1.27 eV per atom. The calculated density is 7.2 g/cm³. As for the symmetry: P4/mmm. The spin magnetization comes out at 0.458 μB per atom. The value obtained for the density of states at the Fermi level is 0.8896 states/eV per atom. The crystal system is tetragonal.

a = 3.512 Å, b = 5.561 Å, c = 5.561 Å
α = 90.00°, β = 90.00°, γ = 90.00°
Element x y z (fractional)
1 Ba 0.000 0.500 0.000
2 Re 0.500 0.000 0.000
3 Ba 0.000 0.000 0.500
4 Be 0.500 0.500 0.500



Density functional theory data (PBEsol) for crystalline Ba3BeRh at its relaxed geometry.

Results
The formation energy comes out at 0.83 eV per atom. The calculated density is 4.7 g/cm³. As for the symmetry: Pm-3m. The spin magnetization comes out at 0.000 μB per atom. The value obtained for the density of states at the Fermi level is 0.7304 states/eV per atom. The crystal system is cubic.

a = 5.690 Å, b = 5.690 Å, c = 5.690 Å
α = 90.00°, β = 90.00°, γ = 90.00°
Element x y z (fractional)
1 Ba 0.000 0.500 0.000
2 Rh 0.500 0.500 0.500
3 Ba 0.500 0.000 0.000
4 Be 0.000 0.000 0.000
5 Ba 0.000 0.000 0.500



Density functional theory data (PBEsol) for crystalline Ba2BeRu at its relaxed geometry.

Results
The formation energy comes out at 0.31 eV per atom. The calculated density is 6.2 g/cm³. As for the symmetry: P4mm. The spin magnetization comes out at 0.000 μB per atom. The value obtained for the density of states at the Fermi level is 0.8377 states/eV per atom. The crystal system is tetragonal.

a = 3.365 Å, b = 3.365 Å, c = 9.145 Å
α = 90.00°, β = 90.00°, γ = 90.00°
Element x y z (fractional)
1 Ba 0.000 0.000 0.912
2 Ru 0.500 0.500 0.643
3 Be 0.000 0.000 0.600
4 Ba 0.500 0.500 0.345



Density functional theory data (PBEsol) for crystalline Ba2ScBeRu at its relaxed geometry.

Results
The formation energy comes out at 1.19 eV per atom. The calculated density is 4.8 g/cm³. As for the symmetry: P4/mmm. The spin magnetization comes out at 0.137 μB per atom. The value obtained for the density of states at the Fermi level is 1.6929 states/eV per atom. The crystal system is tetragonal.

a = 4.986 Å, b = 5.488 Å, c = 5.488 Å
α = 90.00°, β = 90.00°, γ = 90.00°
Element x y z (fractional)
1 Ru 0.500 0.500 0.500
2 Ba 0.000 0.500 0.000
3 Ba 0.000 0.000 0.500
4 Be 0.000 0.000 0.000
5 Sc 0.500 0.000 0.000



Density functional theory data (PBEsol) for crystalline BaBeS3 at its relaxed geometry.

Results
For the uncorrected formation energy, the calculation gives -0.857 eV per atom. The calculated density is 4.2 g/cm³. As for the symmetry: Pm-3m. The spin magnetization comes out at 0.000 μB per atom. The value obtained for the density of states at the Fermi level is 0.8494 states/eV per atom. The crystal system is cubic.

a = 4.579 Å, b = 4.579 Å, c = 4.579 Å
α = 90.00°, β = 90.00°, γ = 90.00°
Element x y z (fractional)
1 Be 0.000 0.000 0.000
2 S 0.000 0.000 0.500
3 S 0.500 0.000 0.000
4 Ba 0.500 0.500 0.500
5 S 0.000 0.500 0.000



Density functional theory data (PBEsol) for crystalline Ba2BeS2 at its relaxed geometry.

Results
For the uncorrected formation energy, the calculation gives -0.979 eV per atom. The calculated density is 4.3 g/cm³. As for the symmetry: P4/mbm. The spin magnetization comes out at 0.000 μB per atom. The value obtained for the density of states at the Fermi level is 0.2431 states/eV per atom. The crystal system is tetragonal.

a = 4.080 Å, b = 8.144 Å, c = 8.144 Å
α = 90.00°, β = 90.00°, γ = 90.00°
Element x y z (fractional)
1 S 0.000 0.844 0.656
2 S 0.000 0.156 0.344
3 Ba 0.500 0.347 0.153
4 S 0.000 0.344 0.844
5 Ba 0.500 0.153 0.653
6 S 0.000 0.656 0.156
7 Ba 0.500 0.847 0.347
8 Be 0.000 0.500 0.500
9 Ba 0.500 0.653 0.847
10 Be 0.000 0.000 0.000